(1)
VASP calculation (PBE) on crystalline TbY6Ho at its relaxed geometry.

Structure (POSCAR):
```
TbY6Ho
1.0
6.563 0.000 0.000
-0.009 6.793 0.000
-1.476 -3.384 5.860
Tb Y Ho
1 6 1
Direct
0.000 0.000 0.000
0.232 0.575 0.482
0.251 0.551 0.001
0.269 0.094 0.521
0.731 0.906 0.479
0.749 0.449 0.999
0.768 0.425 0.518
0.500 0.000 0.000
```

Computed properties:
formation energy from the elements = 158 kJ/mol of formula units
space group = No. 2
raw total energy = -5.795 eV/atom
total magnetization = 0.000 μB/atom
polymorph energy (0 for the lowest one) = 47 meV per atom


(2)
VASP calculation (PBE) on crystalline Ac8Zn2Os at its relaxed geometry.

Structure (POSCAR):
```
Ac8Zn2Os
1.0
10.034 -2.110 0.000
10.034 2.110 0.000
-0.641 0.000 9.942
Ac Zn Os
8 2 1
Direct
0.008 0.008 0.204
0.226 0.226 0.334
0.351 0.351 0.004
0.405 0.405 0.481
0.595 0.595 0.519
0.649 0.649 0.996
0.774 0.774 0.666
0.992 0.992 0.796
0.161 0.161 0.742
0.839 0.839 0.258
0.500 0.500 0.000
```

Computed properties:
formation energy from the elements = -63 kJ/mol of formula units
space group = No. 12
raw total energy = -4.300 eV/atom
total magnetization = 0.000 μB/atom


(3)
VASP calculation (PBE) on crystalline Tl3In4Pb4 at its relaxed geometry.

Structure (POSCAR):
```
Tl3In4Pb4
1.0
3.407 0.000 0.000
-0.079 5.128 0.000
-1.652 -2.338 18.840
Tl In Pb
3 4 4
Direct
0.000 0.000 0.000
0.361 0.360 0.725
0.639 0.640 0.275
0.092 0.091 0.182
0.273 0.274 0.545
0.727 0.726 0.455
0.908 0.909 0.818
0.185 0.184 0.368
0.452 0.454 0.906
0.548 0.546 0.094
0.815 0.816 0.632
```

Computed properties:
formation energy from the elements = 11 kJ/mol of formula units
space group = No. 2
raw total energy = -2.979 eV/atom
total magnetization = 0.000 μB/atom
polymorph energy (0 for the lowest one) = 0 meV per atom


(4)
VASP calculation (PBE) on crystalline Ce12GaPt6 at its relaxed geometry.

Structure (POSCAR):
```
Ce12GaPt6
1.0
6.222 3.592 4.120
-6.222 3.592 4.120
0.000 -7.184 4.120
Ce Ga Pt
12 1 6
Direct
0.027 0.946 0.652
0.054 0.348 0.973
0.186 0.582 0.418
0.348 0.973 0.054
0.418 0.186 0.582
0.418 0.582 0.814
0.582 0.418 0.186
0.582 0.814 0.418
0.652 0.027 0.946
0.814 0.418 0.582
0.946 0.652 0.027
0.973 0.054 0.348
0.000 0.000 0.000
0.131 0.325 0.631
0.325 0.631 0.131
0.369 0.869 0.675
0.631 0.131 0.325
0.675 0.369 0.869
0.869 0.675 0.369
```

Computed properties:
formation energy from the elements = -1010 kJ/mol of formula units
space group = No. 148
raw total energy = -6.366 eV/atom
total magnetization = 0.541 μB/atom